# 1
Entry from the Alexandria database: a PBEsol-optimized structure of Ca2WBr (meta-GGA SCAN).

Values from the calculation:
- offset from the most stable computed form (meV/atom) = 0
- spin magnetization (μB per cell) = 1.0
- formation energy (no corrections) (eV per atom) = 0.120
- mass density (g/cm3) = 6.226
- D(E_F) (states/eV/atom) = 0.71

Lattice parameters (Å, degrees): 3.3869 3.3869 9.4376 79.66 79.66 60.00
Last column: nearest neighbours and their distance in Å.
Fractional coordinates of all 4 atoms:
Ca 0.7492 0.7492 0.7523  3 Br 3.01, 3 W 3.04
Ca 0.2508 0.2508 0.2477  3 Br 3.01, 3 W 3.04
W 0.5000 0.5000 0.5000  6 Ca 3.04, 6 W 3.39
Br 0.0000 0.0000 0.0000  6 Ca 3.01

=====

# 2
Entry from the Alexandria database: a PBEsol-optimized structure of Re2AgHg (meta-GGA SCAN).

Values from the calculation:
- spin magnetization (μB per cell) = 0.0
- mass density (g/cm3) = 17.489
- energy of formation (eV/atom) = 0.9556
- D(E_F) (states/eV/atom) = 0.80

Lattice parameters (Å, degrees): 3.7766 3.7766 5.2607 111.04 111.04 90.00
Last column: nearest neighbours and their distance in Å.
Fractional coordinates of all 4 atoms:
Re 0.2500 0.7500 0.5000  4 Re 2.67, 4 Ag 2.95, 4 Hg 2.95
Re 0.7500 0.2500 0.5000  4 Re 2.67, 4 Ag 2.95, 4 Hg 2.95
Hg 0.0000 0.0000 0.0000  4 Ag 2.67, 8 Re 2.95
Ag 0.5000 0.5000 0.0000  4 Hg 2.67, 8 Re 2.95

=====

# 3
Entry from the Alexandria database: a PBEsol-optimized structure of LiRe2PdSe (meta-GGA SCAN).

Values from the calculation:
- spin magnetization (μB per cell) = 0.7
- formation energy (no corrections) (eV per atom) = 1.330
- mass density (g/cm3) = 9.854
- D(E_F) (states/eV/atom) = 0.76

Lattice parameters (Å, degrees): 4.5272 4.5272 4.6435 90.00 90.00 90.00
Last column: nearest neighbours and their distance in Å.
Fractional coordinates of all 5 atoms:
Se 0.0000 0.0000 0.0000  4 Re 2.26, 2 Pd 2.32
Pd 0.0000 0.0000 0.5000  2 Se 2.32
Re 0.0000 0.5000 0.0000  2 Se 2.26
Re 0.5000 0.0000 0.0000  2 Se 2.26
Li 0.5000 0.5000 0.5000  4 Pd 3.20, 8 Re 3.24

=====

# 4
Entry from the Alexandria database: a PBEsol-optimized structure of CaAl2Ni (meta-GGA SCAN).

Values from the calculation:
- spin magnetization (μB per cell) = 0.0
- mass density (g/cm3) = 3.223
- energy of formation (eV/atom) = -0.4194
- D(E_F) (states/eV/atom) = 0.37

Lattice parameters (Å, degrees): 4.1629 4.1629 5.7678 68.85 68.85 60.00
Last column: nearest neighbours and their distance in Å.
Fractional coordinates of all 4 atoms:
Ni 0.6721 0.6721 0.9838  6 Al 2.42-2.52
Al 0.2913 0.2913 0.1260  3 Ni 2.52, 3 Al 2.63
Al 0.0252 0.0252 0.9243  3 Ni 2.42, 3 Al 2.63
Ca 0.4903 0.4903 0.5290  1 Ni 2.86, 7 Al 3.13-3.20

=====

# 5
Entry from the Alexandria database: a PBEsol-optimized structure of ZrScBe2 (meta-GGA SCAN).

Values from the calculation:
- offset from the most stable computed form (meV/atom) = 3
- spin magnetization (μB per cell) = 0.0
- mass density (g/cm3) = 4.179
- energy of formation (eV/atom) = -0.0764
- D(E_F) (states/eV/atom) = 0.63

Lattice parameters (Å, degrees): 4.4251 4.4251 4.4251 60.00 60.00 60.00
Last column: nearest neighbours and their distance in Å.
Fractional coordinates of all 4 atoms:
Sc 0.0000 0.0000 0.0000  8 Be 2.71
Be 0.2500 0.2500 0.2500  4 Zr 2.71, 4 Sc 2.71
Be 0.7500 0.7500 0.7500  4 Zr 2.71, 4 Sc 2.71
Zr 0.5000 0.5000 0.5000  8 Be 2.71

=====

# 6
Entry from the Alexandria database: a PBEsol-optimized structure of TlV4O10 (meta-GGA SCAN).

Values from the calculation:
- spin magnetization (μB per cell) = 0.0
- formation energy (no corrections) (eV per atom) = -2.393
- mass density (g/cm3) = 4.754
- D(E_F) (states/eV/atom) = 0.20

Lattice parameters (Å, degrees): 3.6620 5.9727 9.6909 99.89 90.00 107.85
Last column: nearest neighbours and their distance in Å.
Fractional coordinates of all 15 atoms:
O 0.2605 0.5210 0.1170  3 V 1.90-2.02
O 0.8376 0.6752 0.3267  1 V 1.60
O 0.1000 0.2000 0.3244  1 V 1.61
O 0.9329 0.8658 0.0956  2 V 1.80-1.81
O 0.0671 0.1342 0.9044  2 V 1.80-1.81
O 0.6169 0.2337 0.1251  3 V 1.89-1.97
O 0.1624 0.3248 0.6733  1 V 1.60
O 0.7395 0.4790 0.8830  3 V 1.90-2.02
O 0.9000 0.8000 0.6756  1 V 1.61
O 0.3831 0.7663 0.8749  3 V 1.89-1.97
V 0.7933 0.5867 0.1599  1 O 1.60
V 0.0924 0.1848 0.1567  2 O 1.61-1.80
V 0.2067 0.4133 0.8401  1 O 1.60
V 0.9076 0.8152 0.8433  2 O 1.61-1.80
Tl 0.5000 0.0000 0.5000  8 O 2.87-2.91

=====

# 7
Entry from the Alexandria database: a PBEsol-optimized structure of ZnBi6P2O14F2 (meta-GGA SCAN).

Values from the calculation:
- spin magnetization (μB per cell) = 0.0
- formation energy (no corrections) (eV per atom) = -1.704
- mass density (g/cm3) = 7.617
- D(E_F) (states/eV/atom) = 0.00

Lattice parameters (Å, degrees): 5.5642 8.7376 15.9631 78.81 79.96 71.43
Last column: nearest neighbours and their distance in Å.
Fractional coordinates of all 50 atoms:
O 0.1628 0.4945 0.3901  1 Zn 1.83
O 0.9226 0.9169 0.7414  3 Bi 2.24-2.30
O 0.0475 0.0055 0.1099  1 Zn 1.83
O 0.4051 0.8701 0.5773  1 P 1.52
O 0.7698 0.7745 0.0562  1 P 1.53
O 0.5809 0.5831 0.7586  3 Bi 2.24-2.30
O 0.7579 0.7500 0.2500  4 Bi 2.23-2.45
O 0.0774 0.0831 0.2586  3 Bi 2.24-2.30
O 0.9167 0.4187 0.2452  3 Bi 2.21-2.38
O 0.4195 0.9187 0.7452  3 Bi 2.21-2.38
O 0.8015 0.3221 0.4620  1 P 1.53
O 0.8372 0.5055 0.6099  1 Zn 1.83
O 0.1985 0.6779 0.5380  1 P 1.53
O 0.0833 0.5813 0.7548  3 Bi 2.21-2.38
O 0.5949 0.1299 0.4227  1 P 1.52
O 0.9525 0.9945 0.8901  1 Zn 1.83
O 0.2302 0.2255 0.9438  1 P 1.53
O 0.2421 0.2500 0.7500  4 Bi 2.23-2.45
O 0.7394 0.2500 0.7500  4 Bi 2.25-2.40
O 0.5857 0.1779 0.0380  1 P 1.53
O 0.5805 0.0813 0.2548  3 Bi 2.21-2.38
O 0.4143 0.8221 0.9620  1 P 1.53
O 0.3996 0.2745 0.5562  1 P 1.53
O 0.1475 0.3701 0.0773  1 P 1.52
O 0.4191 0.4169 0.2414  3 Bi 2.24-2.30
O 0.8525 0.6299 0.9227  1 P 1.52
O 0.2606 0.7500 0.2500  4 Bi 2.25-2.40
O 0.6004 0.7255 0.4438  1 P 1.53
Bi 0.8090 0.2383 0.1650  4 O 2.24-2.48
Bi 0.2123 0.2617 0.3350  4 O 2.24-2.48
Bi 0.1288 0.1046 0.6721  4 O 2.21-2.40
Bi 0.0945 0.6046 0.1721  4 O 2.21-2.40
Bi 0.7877 0.7383 0.6650  4 O 2.24-2.48
Bi 0.8712 0.8954 0.3279  4 O 2.21-2.40
Bi 0.4631 0.4465 0.6712  5 O 2.25-2.45
Bi 0.5809 0.0535 0.8288  5 O 2.25-2.45
Bi 0.9055 0.3954 0.8279  4 O 2.21-2.40
Bi 0.4191 0.9465 0.1712  5 O 2.25-2.45
Bi 0.1910 0.7617 0.8350  4 O 2.24-2.48
Bi 0.5369 0.5535 0.3288  5 O 2.25-2.45
P 0.6617 0.7076 0.9943  3 O 1.52-1.53, 1 F 1.62
P 0.3383 0.2924 0.0057  3 O 1.52-1.53, 1 F 1.62
P 0.3637 0.7924 0.5057  3 O 1.52-1.53, 1 F 1.62
P 0.6363 0.2076 0.4943  3 O 1.52-1.53, 1 F 1.62
F 0.4225 0.4410 0.9433  1 P 1.62
F 0.8068 0.0590 0.5567  1 P 1.62
F 0.1932 0.9410 0.4433  1 P 1.62
F 0.5775 0.5590 0.0567  1 P 1.62
Zn 0.0000 0.0000 0.0000  2 O 1.83
Zn 0.0000 0.5000 0.5000  2 O 1.83

=====

# 8
Entry from the Alexandria database: a PBEsol-optimized structure of TeRuSe2 (meta-GGA SCAN).

Values from the calculation:
- spin magnetization (μB per cell) = 0.0
- formation energy (no corrections) (eV per atom) = -0.096
- mass density (g/cm3) = 8.026
- D(E_F) (states/eV/atom) = 0.51

Lattice parameters (Å, degrees): 3.4386 5.1498 5.1498 118.71 90.00 90.00
Last column: nearest neighbours and their distance in Å.
Fractional coordinates of all 4 atoms:
Te 0.5000 0.5000 0.5000  2 Ru 2.62
Se 0.0000 0.8015 0.1985  2 Ru 2.46
Se 0.0000 0.1985 0.8015  2 Ru 2.46
Ru 0.5000 0.0000 0.0000  4 Se 2.46, 2 Te 2.62

=====

# 9
Entry from the Alexandria database: a PBEsol-optimized structure of YAlSe2 (meta-GGA SCAN).

Values from the calculation:
- spin magnetization (μB per cell) = 0.0
- formation energy (no corrections) (eV per atom) = -1.120
- mass density (g/cm3) = 5.299
- D(E_F) (states/eV/atom) = 0.37

Lattice parameters (Å, degrees): 3.6948 3.8652 6.5762 107.09 106.32 90.00
Last column: nearest neighbours and their distance in Å.
Fractional coordinates of all 4 atoms:
Al 0.2645 0.7645 0.5290  6 Se 2.71-2.96
Y 0.5512 0.5512 0.1023  6 Se 2.87-2.90, 2 Al 3.16
Se 0.7275 0.2275 0.4549  4 Al 2.71, 2 Y 2.87
Se 0.9569 0.9569 0.9137  4 Y 2.90, 2 Al 2.96

=====

# 10
Entry from the Alexandria database: a PBEsol-optimized structure of HfZrGa3 (meta-GGA SCAN).

Values from the calculation:
- spin magnetization (μB per cell) = 0.0
- mass density (g/cm3) = 6.798
- energy of formation (eV/atom) = 0.7059
- D(E_F) (states/eV/atom) = 0.39

Lattice parameters (Å, degrees): 4.8907 4.8907 4.8907 90.00 90.00 90.00
Last column: nearest neighbours and their distance in Å.
Fractional coordinates of all 5 atoms:
Hf 0.5000 0.5000 0.5000  12 Ga 3.46
Ga 0.0000 0.5000 0.0000  2 Zr 2.45
Ga 0.5000 0.0000 0.0000  2 Zr 2.45
Ga 0.0000 0.0000 0.5000  2 Zr 2.45
Zr 0.0000 0.0000 0.0000  6 Ga 2.45

=====

# 11
Entry from the Alexandria database: a PBEsol-optimized structure of CdTeN2O (meta-GGA SCAN).

Values from the calculation:
- spin magnetization (μB per cell) = 0.0
- formation energy (no corrections) (eV per atom) = 0.635
- mass density (g/cm3) = 7.483
- D(E_F) (states/eV/atom) = 0.22

Lattice parameters (Å, degrees): 3.9247 4.0073 4.0073 90.00 90.00 90.00
Last column: nearest neighbours and their distance in Å.
Fractional coordinates of all 5 atoms:
Te 0.0000 0.0000 0.0000  2 O 1.96, 4 N 2.00
N 0.0000 0.5000 0.0000  2 Te 2.00
N 0.0000 0.0000 0.5000  2 Te 2.00
O 0.5000 0.0000 0.0000  2 Te 1.96
Cd 0.5000 0.5000 0.5000  8 N 2.80, 4 O 2.83

=====

# 12
Entry from the Alexandria database: a PBEsol-optimized structure of YCoIr2 (meta-GGA SCAN).

Values from the calculation:
- offset from the most stable computed form (meV/atom) = 52
- spin magnetization (μB per cell) = 1.9
- mass density (g/cm3) = 14.296
- energy of formation (eV/atom) = -0.1801
- D(E_F) (states/eV/atom) = 0.80

Lattice parameters (Å, degrees): 2.8733 4.8906 4.7504 103.67 90.00 107.08
Last column: nearest neighbours and their distance in Å.
Fractional coordinates of all 4 atoms:
Co 0.5000 0.0000 0.0000  4 Ir 2.60, 4 Y 2.78, 2 Co 2.87
Ir 0.7669 0.5339 0.7823  4 Ir 2.60-2.87, 2 Co 2.60, 3 Y 2.83-2.90
Ir 0.2331 0.4661 0.2177  4 Ir 2.60-2.87, 2 Co 2.60, 3 Y 2.83-2.90
Y 0.0000 0.0000 0.5000  4 Co 2.78, 6 Ir 2.83-2.90, 2 Y 2.87